(1)
The following is a DFT calculation (PBE-GGA) of a relaxed Np2Tl3BiO9 crystal.

abc: 6.1841 6.1841 7.5955
angles: 90.00 90.00 120.00
Closest atoms and distances in Å follow each position.
Fractional coordinates of all 15 atoms:
Tl  0.6667  0.3333  0.3389  12 O 3.10-3.13
Tl  0.0000  0.0000  0.0000  12 O 3.06-3.09
Tl  0.3333  0.6667  0.6611  12 O 3.10-3.13
O  0.8216  0.6432  0.6848  1 Np 2.03
O  0.6432  0.8216  0.3152  1 Np 2.03
O  0.1784  0.3568  0.3152  1 Np 2.03
O  0.8216  0.1784  0.6848  1 Np 2.03
O  0.1784  0.8216  0.3152  1 Np 2.03
O  0.5000  0.0000  0.0000  2 Np 2.16
O  0.5000  0.5000  0.0000  2 Np 2.16
O  0.0000  0.5000  0.0000  2 Np 2.16
O  0.3568  0.1784  0.6848  1 Np 2.03
Np  0.6667  0.3333  0.8389  6 O 2.03-2.16
Np  0.3333  0.6667  0.1611  6 O 2.03-2.16
Bi  0.0000  0.0000  0.5000  6 O 2.37

***

(2)
The following is a DFT calculation (PBE-GGA) of a relaxed NpTl2BiO6 crystal.

abc: 6.2314 6.2314 8.8118
angles: 90.00 90.00 90.00
Closest atoms and distances in Å follow each position.
Fractional coordinates of all 20 atoms:
Bi  0.0000  0.7497  0.5000  6 O 2.37
Bi  0.5000  0.2503  0.0000  6 O 2.37
O  0.2314  0.9822  0.0000  1 Np 2.04
O  0.7687  0.5193  0.0000  1 Np 2.04
O  0.5000  0.2492  0.7314  1 Np 2.04
O  0.7313  0.4807  0.5000  1 Np 2.04
O  0.0000  0.7508  0.2314  1 Np 2.04
O  0.7686  0.9822  0.0000  1 Np 2.04
O  0.2686  0.0178  0.5000  1 Np 2.04
O  0.2313  0.5193  0.0000  1 Np 2.04
O  0.0000  0.7508  0.7686  1 Np 2.04
O  0.5000  0.2492  0.2686  1 Np 2.04
O  0.2687  0.4807  0.5000  1 Np 2.04
O  0.7314  0.0178  0.5000  1 Np 2.04
Np  0.0000  0.7507  0.0000  6 O 2.04
Np  0.5000  0.2493  0.5000  6 O 2.04
Tl  0.0000  0.2502  0.7501  12 O 3.12
Tl  0.5000  0.7498  0.2501  12 O 3.12
Tl  0.0000  0.2502  0.2499  12 O 3.12
Tl  0.5000  0.7498  0.7499  12 O 3.12

***

(3)
The following is a DFT calculation (PBE-GGA) of a relaxed TmNpBi2O8 crystal.

abc: 5.2478 5.2528 6.9806
angles: 90.01 89.99 89.89
Closest atoms and distances in Å follow each position.
Fractional coordinates of all 12 atoms:
O  0.7402  0.7412  0.0000  1 Np 1.93
O  0.1780  0.8217  0.2347  1 Np 2.10, 1 Tm 2.28
O  0.8220  0.1783  0.7653  1 Np 2.10, 1 Tm 2.28
O  0.8216  0.1787  0.2351  1 Np 2.11, 1 Tm 2.27
O  0.3041  0.3039  0.5000  2 Bi 2.22, 1 Tm 2.26
O  0.6959  0.6961  0.5000  2 Bi 2.22, 1 Tm 2.26
O  0.1784  0.8213  0.7649  1 Np 2.11, 1 Tm 2.27
O  0.2598  0.2588  0.0000  1 Np 1.93
Np  0.0000  0.0000  0.0000  6 O 1.93-2.11
Tm  0.0000  0.0000  0.5000  6 O 2.26-2.28
Bi  0.5003  0.4997  0.2610  4 O 2.22-2.40
Bi  0.4997  0.5003  0.7390  4 O 2.22-2.40

## Properties
The density of states at the Fermi level is 1.4 states/eV/f.u.

***

(4)
The following is a DFT calculation (PBE-GGA) of a relaxed TmNpBiO6 crystal.

abc: 5.7446 5.7446 9.6527
angles: 90.00 90.00 120.00
Closest atoms and distances in Å follow each position.
Fractional coordinates of all 18 atoms:
O  0.6578  0.6372  0.1366  1 Np 2.08, 1 Tm 2.24
O  0.3628  0.3422  0.3634  1 Np 2.08, 1 Tm 2.24
O  0.6372  0.9794  0.8634  1 Np 2.08, 1 Tm 2.24
O  0.3628  0.0206  0.1366  1 Np 2.08, 1 Tm 2.24
O  0.0206  0.3628  0.6366  1 Np 2.08, 1 Tm 2.24
O  0.3422  0.3628  0.8634  1 Np 2.08, 1 Tm 2.24
O  0.6578  0.0206  0.3634  1 Np 2.08, 1 Tm 2.24
O  0.9794  0.3422  0.1366  1 Np 2.08, 1 Tm 2.24
O  0.6372  0.6578  0.6366  1 Np 2.08, 1 Tm 2.24
O  0.9794  0.6372  0.3634  1 Np 2.08, 1 Tm 2.24
O  0.0206  0.6578  0.8634  1 Np 2.08, 1 Tm 2.24
O  0.3422  0.9794  0.6366  1 Np 2.08, 1 Tm 2.24
Tm  0.3333  0.6667  0.2500  6 O 2.24
Tm  0.6667  0.3333  0.7500  6 O 2.24
Bi  0.0000  0.0000  0.5000  6 O 2.42
Bi  0.0000  0.0000  0.0000  6 O 2.42
Np  0.3333  0.6667  0.7500  6 O 2.08
Np  0.6667  0.3333  0.2500  6 O 2.08

## Properties
The density of states at the Fermi level is 0.2 states/eV/f.u.

***

Values for calculated total energy, eV/atom, ordered as above
-7.352 -6.810 -7.624 -8.255